CaSiS2F | SCAN | PBEsol geometry

Properties
formation energy without anion corrections = -1622 meV per atom
SG = P4/mmm (123)
magnetization = 0.00 μB/f.u.
total DFT energy (no corrections) = -50.59 eV for the cell shown

Lattice parameters (Å, degrees): 4.6890 4.6890 3.8553 90.00 90.00 90.00
Fractional coordinates of all 5 atoms:
Ca (0.0000, 0.0000, 0.0000)
Si (0.5000, 0.5000, 0.5000)
S (0.0000, 0.5000, 0.5000)
S (0.5000, 0.0000, 0.5000)
F (0.5000, 0.5000, 0.0000)

CoSiSe2 | SCAN | PBEsol geometry

Properties
formation energy without anion corrections = 856 meV per atom
SG = F-43m (216)
magnetization = 1.28 μB/f.u.
total DFT energy (no corrections) = -64.05 eV for the cell shown

Lattice parameters (Å, degrees): 4.4271 4.4271 4.4271 60.00 60.00 60.00
Fractional coordinates of all 4 atoms:
Co (0.0000, 0.0000, 0.0000)
Si (0.2500, 0.2500, 0.2500)
Se (0.5000, 0.5000, 0.5000)
Se (0.7500, 0.7500, 0.7500)

K2ErCuCl6 | SCAN | PBEsol geometry

Properties
formation energy without anion corrections = -1966 meV per atom
SG = Fm-3m (225)
magnetization = 0.07 μB/f.u.
total DFT energy (no corrections) = -149.72 eV for the cell shown

Lattice parameters (Å, degrees): 7.1157 7.1157 7.1157 60.00 60.00 60.00
Fractional coordinates of all 10 atoms:
K (0.2500, 0.2500, 0.2500)
K (0.7500, 0.7500, 0.7500)
Er (0.0000, 0.0000, 0.0000)
Cu (0.5000, 0.5000, 0.5000)
Cl (0.2553, 0.2553, 0.7447)
Cl (0.2553, 0.7447, 0.2553)
Cl (0.2553, 0.7447, 0.7447)
Cl (0.7447, 0.2553, 0.2553)
Cl (0.7447, 0.2553, 0.7447)
Cl (0.7447, 0.7447, 0.2553)

LiTcSb3 | SCAN | PBEsol geometry

Properties
formation energy without anion corrections = 936 meV per atom
SG = Pm-3m (221)
magnetization = 3.31 μB/f.u.
total DFT energy (no corrections) = -144.55 eV for the cell shown
excess energy over the best structure of this formula in the dataset = 282 kJ/mol of formula units

Lattice parameters (Å, degrees): 4.7976 4.7976 4.7976 90.00 90.00 90.00
Fractional coordinates of all 5 atoms:
Li (0.0000, 0.0000, 0.0000)
Tc (0.5000, 0.5000, 0.5000)
Sb (0.0000, 0.0000, 0.5000)
Sb (0.0000, 0.5000, 0.0000)
Sb (0.5000, 0.0000, 0.0000)

Na4Zr2Si3O12 | SCAN | PBEsol geometry

Properties
formation energy without anion corrections = -3014 meV per atom
SG = R-3c (167)
magnetization = 0.00 μB/f.u.
total DFT energy (no corrections) = -492.75 eV for the cell shown

Lattice parameters (Å, degrees): 9.0726 9.0726 9.0726 61.18 61.18 61.18
Fractional coordinates of all 42 atoms:
Na (0.0000, 0.0000, 0.0000)
Na (0.1164, 0.7500, 0.3836)
Na (0.2500, 0.6164, 0.8836)
Na (0.3836, 0.1164, 0.7500)
Na (0.5000, 0.5000, 0.5000)
Na (0.6164, 0.8836, 0.2500)
Na (0.7500, 0.3836, 0.1164)
Na (0.8836, 0.2500, 0.6164)
Zr (0.1460, 0.1460, 0.1460)
Zr (0.3540, 0.3540, 0.3540)
Zr (0.6460, 0.6460, 0.6460)
Zr (0.8540, 0.8540, 0.8540)
Si (0.0475, 0.4525, 0.7500)
Si (0.2500, 0.9525, 0.5475)
Si (0.4525, 0.7500, 0.0475)
Si (0.5475, 0.2500, 0.9525)
Si (0.7500, 0.0475, 0.4525)
Si (0.9525, 0.5475, 0.2500)
O (0.0095, 0.6228, 0.7977)
O (0.0653, 0.2668, 0.9172)
O (0.0828, 0.9347, 0.7332)
O (0.1228, 0.5095, 0.2977)
O (0.2023, 0.9905, 0.3772)
O (0.2332, 0.4347, 0.5828)
O (0.2668, 0.9172, 0.0653)
O (0.2977, 0.1228, 0.5095)
O (0.3772, 0.2023, 0.9905)
O (0.4172, 0.7668, 0.5653)
O (0.4347, 0.5828, 0.2332)
O (0.4905, 0.7023, 0.8772)
O (0.5095, 0.2977, 0.1228)
O (0.5653, 0.4172, 0.7668)
O (0.5828, 0.2332, 0.4347)
O (0.6228, 0.7977, 0.0095)
O (0.7023, 0.8772, 0.4905)
O (0.7332, 0.0828, 0.9347)
O (0.7668, 0.5653, 0.4172)
O (0.7977, 0.0095, 0.6228)
O (0.8772, 0.4905, 0.7023)
O (0.9172, 0.0653, 0.2668)
O (0.9347, 0.7332, 0.0828)
O (0.9905, 0.3772, 0.2023)

Ca2Zn2Hg | SCAN | PBEsol geometry

Properties
energy of formation = -0.234 eV per atom
SG = I4/mmm (139)
magnetization = 0.00 μB/f.u.
total DFT energy (no corrections) = -115.69 eV for the cell shown
excess energy over the best structure of this formula in the dataset = 67 kJ/mol of formula units

Lattice parameters (Å, degrees): 5.5299 5.5299 5.5299 117.00 117.00 95.27
Fractional coordinates of all 5 atoms:
Ca (0.2500, 0.7500, 0.5000)
Ca (0.7500, 0.2500, 0.5000)
Zn (0.1524, 0.1524, 0.0000)
Zn (0.8476, 0.8476, 0.0000)
Hg (0.5000, 0.5000, 0.0000)

Be5Rh3 | SCAN | PBEsol geometry

Properties
energy of formation = -0.761 eV per atom
SG = Cmmm (65)
magnetization = 0.00 μB/f.u.
total DFT energy (no corrections) = -129.17 eV for the cell shown

Lattice parameters (Å, degrees): 4.6349 4.6349 3.8159 90.00 90.00 105.35
Fractional coordinates of all 8 atoms:
Be (0.0000, 0.0000, 0.0000)
Be (0.0000, 0.5000, 0.0000)
Be (0.2844, 0.2844, 0.5000)
Be (0.5000, 0.0000, 0.0000)
Be (0.7156, 0.7156, 0.5000)
Rh (0.2208, 0.7792, 0.5000)
Rh (0.5000, 0.5000, 0.0000)
Rh (0.7792, 0.2208, 0.5000)

LiSmW2O8 | SCAN | PBEsol geometry

Properties
formation energy without anion corrections = -2700 meV per atom
SG = P-1 (2)
magnetization = 0.00 μB/f.u.
total DFT energy (no corrections) = -536.92 eV for the cell shown
excess energy over the best structure of this formula in the dataset = 0 kJ/mol of formula units

Lattice parameters (Å, degrees): 7.0152 7.3101 7.3849 114.29 115.49 90.96
Fractional coordinates of all 24 atoms:
Li (0.2408, 0.3296, 0.4930)
Li (0.7592, 0.6704, 0.5070)
Sm (0.3214, 0.7122, 0.0412)
Sm (0.6786, 0.2878, 0.9588)
W (0.1477, 0.1027, 0.7886)
W (0.2414, 0.7049, 0.4688)
W (0.7586, 0.2951, 0.5312)
W (0.8523, 0.8973, 0.2114)
O (0.0176, 0.1726, 0.4917)
O (0.0489, 0.4611, 0.2474)
O (0.1154, 0.8269, 0.2353)
O (0.2127, 0.0044, 0.9850)
O (0.3201, 0.6389, 0.6965)
O (0.3237, 0.3603, 0.9398)
O (0.3660, 0.0101, 0.6953)
O (0.4603, 0.6899, 0.3998)
O (0.5397, 0.3101, 0.6002)
O (0.6340, 0.9899, 0.3047)
O (0.6763, 0.6397, 0.0602)
O (0.6799, 0.3611, 0.3035)
O (0.7873, 0.9956, 0.0150)
O (0.8846, 0.1731, 0.7647)
O (0.9511, 0.5389, 0.7526)
O (0.9824, 0.8274, 0.5083)

ScCd2Pt | SCAN | PBEsol geometry

Properties
energy of formation = -0.636 eV per atom
SG = F-43m (216)
magnetization = 0.00 μB/f.u.
total DFT energy (no corrections) = -147.80 eV for the cell shown

Lattice parameters (Å, degrees): 4.6858 4.6858 4.6858 60.00 60.00 60.00
Fractional coordinates of all 4 atoms:
Sc (0.0000, 0.0000, 0.0000)
Cd (0.5000, 0.5000, 0.5000)
Cd (0.7500, 0.7500, 0.7500)
Pt (0.2500, 0.2500, 0.2500)

IrRhAu2 | SCAN | PBEsol geometry

Properties
energy of formation = 0.448 eV per atom
SG = F-43m (216)
magnetization = 0.00 μB/f.u.
total DFT energy (no corrections) = -241.39 eV for the cell shown
excess energy over the best structure of this formula in the dataset = 22 kJ/mol of formula units

Lattice parameters (Å, degrees): 4.4390 4.4390 4.4390 60.00 60.00 60.00
Fractional coordinates of all 4 atoms:
Ir (0.0000, 0.0000, 0.0000)
Rh (0.7500, 0.7500, 0.7500)
Au (0.2500, 0.2500, 0.2500)
Au (0.5000, 0.5000, 0.5000)

MnSn2 | SCAN | PBEsol geometry

Properties
energy of formation = 0.013 eV per atom
SG = I4/mcm (140)
magnetization = 2.62 μB/f.u.
total DFT energy (no corrections) = -360.23 eV for the cell shown

Lattice parameters (Å, degrees): 7.1705 7.1705 7.1705 126.39 126.39 79.24
Fractional coordinates of all 12 atoms:
Mn (0.0000, 0.0000, 0.0000)
Mn (0.2500, 0.2500, 0.0000)
Mn (0.5000, 0.5000, 0.0000)
Mn (0.7500, 0.7500, 0.0000)
Sn (0.0292, 0.5292, 0.8255)
Sn (0.2037, 0.0292, 0.5000)
Sn (0.2963, 0.7963, 0.8255)
Sn (0.4708, 0.2963, 0.5000)
Sn (0.5292, 0.7037, 0.5000)
Sn (0.7037, 0.2037, 0.1745)
Sn (0.7963, 0.9708, 0.5000)
Sn (0.9708, 0.4708, 0.1745)

CaSb2Br | SCAN | PBEsol geometry

Properties
formation energy without anion corrections = -521 meV per atom
SG = F-43m (216)
magnetization = 0.00 μB/f.u.
total DFT energy (no corrections) = -105.73 eV for the cell shown
excess energy over the best structure of this formula in the dataset = 113 kJ/mol of formula units

Lattice parameters (Å, degrees): 5.3606 5.3606 5.3606 60.00 60.00 60.00
Fractional coordinates of all 4 atoms:
Ca (0.0000, 0.0000, 0.0000)
Sb (0.2500, 0.2500, 0.2500)
Sb (0.5000, 0.5000, 0.5000)
Br (0.7500, 0.7500, 0.7500)

K2Ta2O3F6 | SCAN | PBEsol geometry

Properties
formation energy without anion corrections = -3295 meV per atom
SG = Pnma (62)
magnetization = 0.00 μB/f.u.
total DFT energy (no corrections) = -930.38 eV for the cell shown

Lattice parameters (Å, degrees): 10.2316 5.5824 14.4522 90.00 90.00 90.00
Fractional coordinates of all 52 atoms:
K (0.0599, 0.2500, 0.0999)
K (0.2477, 0.7500, 0.2909)
K (0.2523, 0.2500, 0.7909)
K (0.4401, 0.7500, 0.5999)
K (0.5599, 0.2500, 0.4001)
K (0.7477, 0.7500, 0.2091)
K (0.7523, 0.2500, 0.7091)
K (0.9401, 0.7500, 0.9001)
Ta (0.0634, 0.7500, 0.6497)
Ta (0.2186, 0.2500, 0.5072)
Ta (0.2814, 0.7500, 0.0072)
Ta (0.4366, 0.2500, 0.1497)
Ta (0.5634, 0.7500, 0.8503)
Ta (0.7186, 0.2500, 0.9928)
Ta (0.7814, 0.7500, 0.4928)
Ta (0.9366, 0.2500, 0.3503)
O (0.1099, 0.2500, 0.3996)
O (0.1290, 0.5011, 0.5705)
O (0.1290, 0.9989, 0.5705)
O (0.3710, 0.0011, 0.0705)
O (0.3710, 0.4989, 0.0705)
O (0.3901, 0.7500, 0.8996)
O (0.6099, 0.2500, 0.1004)
O (0.6290, 0.5011, 0.9295)
O (0.6290, 0.9989, 0.9295)
O (0.8710, 0.0011, 0.4295)
O (0.8710, 0.4989, 0.4295)
O (0.8901, 0.7500, 0.6004)
F (0.0154, 0.5107, 0.7435)
F (0.0154, 0.9893, 0.7435)
F (0.1487, 0.7500, 0.1073)
F (0.1626, 0.5126, 0.9489)
F (0.1626, 0.9874, 0.9489)
F (0.2346, 0.7500, 0.7147)
F (0.2654, 0.2500, 0.2147)
F (0.3374, 0.0126, 0.4489)
F (0.3374, 0.4874, 0.4489)
F (0.3513, 0.2500, 0.6073)
F (0.4846, 0.0107, 0.2435)
F (0.4846, 0.4893, 0.2435)
F (0.5154, 0.5107, 0.7565)
F (0.5154, 0.9893, 0.7565)
F (0.6487, 0.7500, 0.3927)
F (0.6626, 0.5126, 0.5511)
F (0.6626, 0.9874, 0.5511)
F (0.7346, 0.7500, 0.7853)
F (0.7654, 0.2500, 0.2853)
F (0.8374, 0.0126, 0.0511)
F (0.8374, 0.4874, 0.0511)
F (0.8513, 0.2500, 0.8927)
F (0.9846, 0.0107, 0.2565)
F (0.9846, 0.4893, 0.2565)

BaTe2F10 | SCAN | PBEsol geometry

Properties
formation energy without anion corrections = -2692 meV per atom
SG = C2/c (15)
magnetization = 0.00 μB/f.u.
total DFT energy (no corrections) = -368.91 eV for the cell shown

Lattice parameters (Å, degrees): 8.8594 8.8594 10.2162 111.69 111.69 31.74
Fractional coordinates of all 26 atoms:
Ba (0.0423, 0.9577, 0.7500)
Ba (0.9577, 0.0423, 0.2500)
Te (0.2824, 0.3941, 0.4310)
Te (0.3941, 0.2824, 0.9310)
Te (0.6059, 0.7176, 0.0690)
Te (0.7176, 0.6059, 0.5690)
F (0.0355, 0.5545, 0.2508)
F (0.0718, 0.2693, 0.4628)
F (0.1755, 0.7020, 0.4475)
F (0.1851, 0.5973, 0.8418)
F (0.2693, 0.0718, 0.9628)
F (0.2980, 0.8245, 0.0525)
F (0.3606, 0.4906, 0.1242)
F (0.4027, 0.8149, 0.6582)
F (0.4455, 0.9645, 0.2492)
F (0.4906, 0.3606, 0.6242)
F (0.5094, 0.6394, 0.3758)
F (0.5545, 0.0355, 0.7508)
F (0.5973, 0.1851, 0.3418)
F (0.6394, 0.5094, 0.8758)
F (0.7020, 0.1755, 0.9475)
F (0.7307, 0.9282, 0.0372)
F (0.8149, 0.4027, 0.1582)
F (0.8245, 0.2980, 0.5525)
F (0.9282, 0.7307, 0.5372)
F (0.9645, 0.4455, 0.7492)

PRhBr2 | SCAN | PBEsol geometry

Properties
formation energy without anion corrections = 630 meV per atom
SG = I4/mmm (139)
magnetization = 0.00 μB/f.u.
total DFT energy (no corrections) = -80.57 eV for the cell shown
excess energy over the best structure of this formula in the dataset = 490 kJ/mol of formula units

Lattice parameters (Å, degrees): 4.6560 4.6560 4.6560 113.66 113.66 101.39
Fractional coordinates of all 4 atoms:
P (0.0000, 0.0000, 0.0000)
Rh (0.5000, 0.5000, 0.0000)
Br (0.0000, 0.5000, 0.5000)
Br (0.5000, 0.0000, 0.5000)

CoTe2SeN | SCAN | PBEsol geometry

Properties
formation energy without anion corrections = 1087 meV per atom
SG = P4/mmm (123)
magnetization = 2.71 μB/f.u.
total DFT energy (no corrections) = -115.74 eV for the cell shown

Lattice parameters (Å, degrees): 4.5619 4.5619 4.4088 90.00 90.00 90.00
Fractional coordinates of all 5 atoms:
Co (0.0000, 0.0000, 0.0000)
Te (0.0000, 0.5000, 0.5000)
Te (0.5000, 0.0000, 0.5000)
Se (0.5000, 0.5000, 0.0000)
N (0.5000, 0.5000, 0.5000)

Rb2MgBi | SCAN | PBEsol geometry

Properties
energy of formation = -0.004 eV per atom
SG = Fm-3m (225)
magnetization = 0.00 μB/f.u.
total DFT energy (no corrections) = -125.05 eV for the cell shown
excess energy over the best structure of this formula in the dataset = 0 kJ/mol of formula units

Lattice parameters (Å, degrees): 6.0907 6.0907 6.0907 60.00 60.00 60.00
Fractional coordinates of all 4 atoms:
Rb (0.2500, 0.2500, 0.2500)
Rb (0.7500, 0.7500, 0.7500)
Mg (0.0000, 0.0000, 0.0000)
Bi (0.5000, 0.5000, 0.5000)

ZnCrPb2Br | SCAN | PBEsol geometry

Properties
formation energy without anion corrections = 758 meV per atom
SG = P4/mmm (123)
magnetization = 4.18 μB/f.u.
total DFT energy (no corrections) = -199.13 eV for the cell shown

Lattice parameters (Å, degrees): 5.7352 5.7352 4.6405 90.00 90.00 90.00
Fractional coordinates of all 5 atoms:
Zn (0.0000, 0.0000, 0.0000)
Cr (0.5000, 0.5000, 0.0000)
Pb (0.0000, 0.5000, 0.5000)
Pb (0.5000, 0.0000, 0.5000)
Br (0.5000, 0.5000, 0.5000)

LiLa2CdBr | SCAN | PBEsol geometry

Properties
formation energy without anion corrections = -526 meV per atom
SG = P4/mmm (123)
magnetization = 0.00 μB/f.u.
total DFT energy (no corrections) = -141.11 eV for the cell shown

Lattice parameters (Å, degrees): 5.7204 5.7204 4.4434 90.00 90.00 90.00
Fractional coordinates of all 5 atoms:
Li (0.0000, 0.0000, 0.0000)
La (0.0000, 0.5000, 0.5000)
La (0.5000, 0.0000, 0.5000)
Cd (0.5000, 0.5000, 0.0000)
Br (0.0000, 0.0000, 0.5000)

SbRh2Br | SCAN | PBEsol geometry

Properties
formation energy without anion corrections = -9 meV per atom
SG = R-3m (166)
magnetization = 0.00 μB/f.u.
total DFT energy (no corrections) = -124.30 eV for the cell shown
excess energy over the best structure of this formula in the dataset = 0 kJ/mol of formula units

Lattice parameters (Å, degrees): 7.8327 7.8327 7.8327 24.34 24.34 24.34
Fractional coordinates of all 4 atoms:
Sb (0.0000, 0.0000, 0.0000)
Rh (0.2553, 0.2553, 0.2553)
Rh (0.7447, 0.7447, 0.7447)
Br (0.5000, 0.5000, 0.5000)

PAu5 | SCAN | PBEsol geometry

Properties
energy of formation = 0.175 eV per atom
SG = Cm (8)
magnetization = 0.00 μB/f.u.
total DFT energy (no corrections) = -355.14 eV for the cell shown
excess energy over the best structure of this formula in the dataset = 0 kJ/mol of formula units

Lattice parameters (Å, degrees): 5.3804 5.3804 7.0202 102.57 102.57 30.72
Fractional coordinates of all 6 atoms:
P (0.0000, 0.0000, 0.0000)
Au (0.2838, 0.2838, 0.6121)
Au (0.2937, 0.2937, 0.0166)
Au (0.5757, 0.5757, 0.7316)
Au (0.6497, 0.6497, 0.2719)
Au (0.9345, 0.9345, 0.3839)